1.
First-principles (PBE) data for a relaxed AlReF2 crystal, as listed in the Alexandria database.

Cell and atoms, written as extended XYZ:
```
4
Lattice="-2.250 4.449 6.551 -3.602 2.131 7.090 -0.976 2.385 7.819" Properties=species:S:1:pos:R:3 pbc="T T T"
Re 0.000 0.000 0.000
Al -3.415 4.482 10.730
F -6.267 8.227 19.694
F -0.562 0.738 1.766
```

The calculation puts the uncorrected formation energy at -4.09 eV/f.u. Its energy relative to the lowest polymorph listed for this composition is 0.000 eV/atom. The space-group type is R-3m (166). For the total magnetic moment, the calculation gives 0.1 μB per cell. Its volume is 13.11 Å³/atom. The total energy is -24.02 eV/cell.

2.
First-principles (PBE) data for a relaxed AlReF2 crystal, as listed in the Alexandria database.

Cell and atoms, written as extended XYZ:
```
4
Lattice="8.214 -0.010 -0.006 7.767 2.671 -0.006 7.767 1.293 2.337" Properties=species:S:1:pos:R:3 pbc="T T T"
Re 11.874 1.977 1.162
Al 0.000 0.000 0.000
F 21.949 3.654 2.148
F 1.799 0.299 0.176
```

The calculation puts the uncorrected formation energy at -2.99 eV/f.u. Its energy relative to the lowest polymorph listed for this composition is 0.275 eV/atom. The space-group type is R-3m (166). For the total magnetic moment, the calculation gives 0.9 μB per cell. Its volume is 12.89 Å³/atom. The total energy is -22.92 eV/cell.

3.
First-principles (PBE) data for a relaxed AlReF2 crystal, as listed in the Alexandria database.

Cell and atoms, written as extended XYZ:
```
8
Lattice="-2.870 2.870 4.062 2.870 -2.870 4.062 2.870 2.870 -4.062" Properties=species:S:1:pos:R:3 pbc="T T T"
Al 2.870 0.000 2.031
Al 0.000 0.000 4.062
Re 0.000 2.870 2.031
Re 0.000 0.000 0.000
F 1.435 -0.007 3.047
F 1.435 2.877 -1.016
F 2.863 1.435 1.016
F 0.007 1.435 5.078
```

The calculation puts the uncorrected formation energy at -1.19 eV/f.u. Its energy relative to the lowest polymorph listed for this composition is 0.725 eV/atom. The space-group type is I-42d (122). For the total magnetic moment, the calculation gives 7.6 μB per cell. Its volume is 16.73 Å³/atom. The total energy is -42.25 eV/cell.

4.
First-principles (PBE) data for a relaxed AlReTeF2 crystal, as listed in the Alexandria database.

Cell and atoms, written as extended XYZ:
```
5
Lattice="4.189 0.000 0.000 0.000 6.043 0.000 0.000 0.000 4.189" Properties=species:S:1:pos:R:3 pbc="T T T"
Re 2.094 3.022 2.094
Te 0.000 0.000 0.000
Al 0.000 3.022 0.000
F 0.000 0.000 2.094
F 2.094 0.000 0.000
```

The calculation puts the uncorrected formation energy at 1.21 eV/f.u. The space-group type is P4/mmm (123). For the total magnetic moment, the calculation gives 3.3 μB per cell. Its volume is 21.21 Å³/atom. The total energy is -21.86 eV/cell.

5.
First-principles (PBE) data for a relaxed TiAl2ReF crystal, as listed in the Alexandria database.

Cell and atoms, written as extended XYZ:
```
5
Lattice="4.905 0.000 0.000 0.000 4.905 0.000 0.000 0.000 3.921" Properties=species:S:1:pos:R:3 pbc="T T T"
Re 0.000 0.000 0.000
F 0.000 0.000 1.961
Al 0.000 2.453 0.000
Al 2.453 0.000 0.000
Ti 2.453 2.453 1.961
```

The calculation puts the uncorrected formation energy at 1.40 eV/f.u. The space-group type is P4/mmm (123). For the total magnetic moment, the calculation gives 1.9 μB per cell. Its volume is 18.87 Å³/atom. The total energy is -28.30 eV/cell.

6.
First-principles (PBE) data for a relaxed Y2AlReF crystal, as listed in the Alexandria database.

Cell and atoms, written as extended XYZ:
```
5
Lattice="-3.708 2.879 1.107 -2.329 -3.237 0.615 1.327 -0.074 4.636" Properties=species:S:1:pos:R:3 pbc="T T T"
Y 0.664 -0.037 2.318
Y -1.854 1.439 0.554
Re -2.355 -0.216 3.179
Al -1.165 -1.618 0.308
F 0.000 0.000 0.000
```

The calculation puts the uncorrected formation energy at -3.14 eV/f.u. The space-group type is P4/mmm (123). For the total magnetic moment, the calculation gives 0.0 μB per cell. Its volume is 18.77 Å³/atom. The total energy is -34.13 eV/cell.